<w>
Material: ZnSn2Se
Method: DFT, PBE
State: optimized geometry

Values from the calculation:
M_tot ... 0.00 μB per cell
DOS at the Fermi energy ... 2.8 states/eV/cell

a = 5.133 Å, b = 5.133 Å, c = 5.133 Å
α = 60.00°, β = 60.00°, γ = 60.00°
Fractional coordinates of all 4 atoms:
Zn  0.000  0.000  0.000
Sn  0.250  0.250  0.250
Sn  0.750  0.750  0.750
Se  0.500  0.500  0.500

<x>
Material: ZnSn2Se
Method: DFT, PBE
State: optimized geometry

Values from the calculation:
M_tot ... 0.00 μB per cell
DOS at the Fermi energy ... 0.2 states/eV/cell

a = 7.768 Å, b = 7.768 Å, c = 7.768 Å
α = 132.72°, β = 132.72°, γ = 69.10°
Fractional coordinates of all 8 atoms:
Zn  0.000  0.000  0.000
Zn  0.750  0.250  0.500
Sn  0.098  0.625  0.973
Sn  0.375  0.348  0.473
Sn  0.652  0.125  0.027
Sn  0.875  0.902  0.527
Se  0.250  0.750  0.500
Se  0.500  0.500  0.000

Tell me which of them is the least stable. Sure, it is <w>.